No. 1
An optimized crystal structure of Zr2HIr. Source: the Alexandria database, functional PBE-GGA.

Magnetization: 0.0000 μB/atom
Space-group type: I-42d, No. 122
Calculated volume: 64.6 Å³/f.u.
E_tot: -0.571 Ry/atom

a = 5.5211 Å, b = 5.5211 Å, c = 5.5211 Å
α = 111.32°, β = 111.32°, γ = 105.83°
Closest atoms and distances in Å follow each position.
Sites, in units of the cell vectors:
Zr  0.0545  0.1250  0.4295  2 H 2.09
Zr  0.3750  0.9455  0.0705  2 H 2.09
Zr  0.6955  0.6250  0.5705  2 H 2.09
Zr  0.8750  0.3045  0.9295  2 H 2.09
H  0.0000  0.0000  0.0000  4 Zr 2.09
H  0.7500  0.2500  0.5000  4 Zr 2.09
Ir  0.2500  0.7500  0.5000  4 Zr 2.67
Ir  0.5000  0.5000  0.0000  4 Zr 2.67


No. 2
An optimized crystal structure of ZrH2Ir. Source: the Alexandria database, functional PBE-GGA.

Magnetization: 0.0000 μB/atom
Space-group type: Fm-3m, No. 225
Calculated volume: 42.8 Å³/f.u.
E_tot: -0.439 Ry/atom

a = 3.9261 Å, b = 3.9261 Å, c = 3.9261 Å
α = 60.00°, β = 60.00°, γ = 60.00°
Closest atoms and distances in Å follow each position.
Sites, in units of the cell vectors:
Zr  0.0000  0.0000  0.0000  8 H 2.40
H  0.2500  0.2500  0.2500  4 Zr 2.40, 4 Ir 2.40
H  0.7500  0.7500  0.7500  4 Zr 2.40, 4 Ir 2.40
Ir  0.5000  0.5000  0.5000  8 H 2.40


No. 3
An optimized crystal structure of ZrHIr3. Source: the Alexandria database, functional PBE-GGA.

Magnetization: 0.4232 μB/atom
Space-group type: Pm-3m, No. 221
Calculated volume: 119.4 Å³/f.u.
E_tot: -0.397 Ry/atom

a = 4.9238 Å, b = 4.9238 Å, c = 4.9238 Å
α = 90.00°, β = 90.00°, γ = 90.00°
Closest atoms and distances in Å follow each position.
Sites, in units of the cell vectors:
Zr  0.0000  0.0000  0.0000  6 Ir 2.46
H  0.5000  0.5000  0.5000  12 Ir 3.48
Ir  0.0000  0.0000  0.5000  2 Zr 2.46
Ir  0.0000  0.5000  0.0000  2 Zr 2.46
Ir  0.5000  0.0000  0.0000  2 Zr 2.46


No. 4
An optimized crystal structure of ZrHIr3. Source: the Alexandria database, functional PBE-GGA.

Magnetization: 0.0000 μB/atom
Space-group type: Pnma, No. 62
Calculated volume: 72.2 Å³/f.u.
E_tot: -0.575 Ry/atom

a = 5.1172 Å, b = 7.1439 Å, c = 7.9022 Å
α = 90.00°, β = 90.00°, γ = 90.00°
Closest atoms and distances in Å follow each position.
Sites, in units of the cell vectors:
Zr  0.0000  0.0000  0.0000  2 H 2.43
Zr  0.0000  0.5000  0.0000  2 H 2.43
Zr  0.5000  0.0000  0.5000  2 H 2.43
Zr  0.5000  0.5000  0.5000  2 H 2.43
H  0.1945  0.2500  0.4359  2 Ir 1.81
H  0.3055  0.7500  0.9359  2 Ir 1.81
H  0.6945  0.2500  0.0641  2 Ir 1.81
H  0.8055  0.7500  0.5641  2 Ir 1.81
Ir  0.0176  0.5735  0.6545  1 H 1.81
Ir  0.0176  0.9265  0.6545  1 H 1.81
Ir  0.2391  0.7500  0.2846  6 Ir 2.62-2.82, 1 H 2.78, 2 Zr 2.81
Ir  0.2609  0.2500  0.7846  6 Ir 2.62-2.82, 1 H 2.78, 2 Zr 2.81
Ir  0.4824  0.0735  0.1545  1 H 1.81
Ir  0.4824  0.4265  0.1545  1 H 1.81
Ir  0.5176  0.5735  0.8455  1 H 1.81
Ir  0.5176  0.9265  0.8455  1 H 1.81
Ir  0.7391  0.7500  0.2154  6 Ir 2.62-2.82, 1 H 2.78, 2 Zr 2.81
Ir  0.7609  0.2500  0.7154  6 Ir 2.62-2.82, 1 H 2.78, 2 Zr 2.81
Ir  0.9824  0.0735  0.3455  1 H 1.81
Ir  0.9824  0.4265  0.3455  1 H 1.81


No. 5
An optimized crystal structure of ZrHIr3. Source: the Alexandria database, functional PBE-GGA.

Magnetization: 0.0000 μB/atom
Space-group type: C2/c, No. 15
Calculated volume: 71.5 Å³/f.u.
E_tot: -0.580 Ry/atom

a = 7.3219 Å, b = 7.3219 Å, c = 5.5900 Å
α = 100.58°, β = 100.58°, γ = 79.52°
Closest atoms and distances in Å follow each position.
Sites, in units of the cell vectors:
Zr  0.0678  0.9322  0.7500  4 Ir 2.66-2.71, 2 H 2.77
Zr  0.2798  0.7202  0.2500  2 H 2.19
Zr  0.7202  0.2798  0.7500  2 H 2.19
Zr  0.9322  0.0678  0.2500  4 Ir 2.66-2.71, 2 H 2.77
H  0.2134  0.5788  0.8705  1 Ir 1.75
H  0.4212  0.7866  0.6295  1 Ir 1.75
H  0.5788  0.2134  0.3705  1 Ir 1.75
H  0.7866  0.4212  0.1295  1 Ir 1.75
Ir  0.0546  0.3444  0.6046  1 H 2.38
Ir  0.0578  0.3372  0.0941  1 H 2.00
Ir  0.3372  0.0578  0.5941  1 H 2.00
Ir  0.3444  0.0546  0.1046  1 H 2.38
Ir  0.3790  0.3829  0.9349  1 H 1.75
Ir  0.3829  0.3790  0.4349  1 H 1.75
Ir  0.6171  0.6210  0.5651  1 H 1.75
Ir  0.6210  0.6171  0.0651  1 H 1.75
Ir  0.6556  0.9454  0.8954  1 H 2.38
Ir  0.6628  0.9422  0.4059  1 H 2.00
Ir  0.9422  0.6628  0.9059  1 H 2.00
Ir  0.9454  0.6556  0.3954  1 H 2.38


No. 6
An optimized crystal structure of ZrHIr3. Source: the Alexandria database, functional PBE-GGA.

Magnetization: 0.0000 μB/atom
Space-group type: P2_1/c, No. 14
Calculated volume: 67.8 Å³/f.u.
E_tot: -0.595 Ry/atom

a = 5.6444 Å, b = 4.6717 Å, c = 10.7024 Å
α = 90.00°, β = 106.17°, γ = 90.00°
Closest atoms and distances in Å follow each position.
Sites, in units of the cell vectors:
Zr  0.2110  0.1517  0.1698  2 H 2.29-2.38
Zr  0.2110  0.3483  0.6698  2 H 2.29-2.38
Zr  0.7890  0.6517  0.3302  2 H 2.29-2.38
Zr  0.7890  0.8483  0.8302  2 H 2.29-2.38
H  0.1814  0.5043  0.4634  2 Ir 1.80-1.83
H  0.1814  0.9957  0.9634  2 Ir 1.80-1.83
H  0.8186  0.0043  0.0366  2 Ir 1.80-1.83
H  0.8186  0.4957  0.5366  2 Ir 1.80-1.83
Ir  0.0885  0.1470  0.4076  1 H 1.80
Ir  0.0885  0.3530  0.9076  1 H 1.80
Ir  0.2993  0.6565  0.3347  1 H 1.83
Ir  0.2993  0.8435  0.8347  1 H 1.83
Ir  0.4231  0.6455  0.0893  1 H 2.31
Ir  0.4231  0.8545  0.5893  1 H 2.31
Ir  0.5769  0.1455  0.4107  1 H 2.31
Ir  0.5769  0.3545  0.9107  1 H 2.31
Ir  0.7007  0.1565  0.1653  1 H 1.83
Ir  0.7007  0.3435  0.6653  1 H 1.83
Ir  0.9115  0.6470  0.0924  1 H 1.80
Ir  0.9115  0.8530  0.5924  1 H 1.80


No. 7
An optimized crystal structure of Zr2H3Ir. Source: the Alexandria database, functional PBE-GGA.

Magnetization: 0.0000 μB/atom
Space-group type: C2/m, No. 12
Calculated volume: 68.3 Å³/f.u.
E_tot: -0.479 Ry/atom

a = 6.9452 Å, b = 6.9452 Å, c = 6.7659 Å
α = 113.03°, β = 113.03°, γ = 27.23°
Closest atoms and distances in Å follow each position.
Sites, in units of the cell vectors:
Zr  0.0390  0.0390  0.2809  5 H 1.97-2.20
Zr  0.2901  0.2901  0.2670  3 H 1.99-2.19
Zr  0.7099  0.7099  0.7330  3 H 1.99-2.19
Zr  0.9610  0.9610  0.7191  5 H 1.97-2.20
H  0.0921  0.0921  0.6340  3 H 1.98, 4 Zr 2.07-2.20
H  0.1991  0.1991  0.5015  3 H 1.98-2.14, 1 Zr 2.07
H  0.4223  0.4223  0.5407  3 Zr 1.97-1.99, 2 H 1.98
H  0.5777  0.5777  0.4593  3 Zr 1.97-1.99, 2 H 1.98
H  0.8009  0.8009  0.4985  3 H 1.98-2.14, 1 Zr 2.07
H  0.9079  0.9079  0.3660  3 H 1.98, 4 Zr 2.07-2.20
Ir  0.3850  0.3850  0.9622  7 Zr 2.78-2.83, 1 Ir 2.94, 3 H 3.09
Ir  0.6150  0.6150  0.0378  7 Zr 2.78-2.83, 1 Ir 2.94, 3 H 3.09


No. 8
An optimized crystal structure of ZrHIr3. Source: the Alexandria database, functional PBE-GGA.

Magnetization: 0.0000 μB/atom
Space-group type: R-3, No. 148
Calculated volume: 71.8 Å³/f.u.
E_tot: -0.564 Ry/atom

a = 7.3979 Å, b = 7.3979 Å, c = 7.3979 Å
α = 38.91°, β = 38.91°, γ = 38.91°
Closest atoms and distances in Å follow each position.
Sites, in units of the cell vectors:
Zr  0.1656  0.1656  0.1656  6 Ir 2.73-2.76, 3 Zr 2.85
Zr  0.8344  0.8344  0.8344  6 Ir 2.73-2.76, 3 Zr 2.85
H  0.4331  0.4331  0.4331  3 Ir 1.89
H  0.5669  0.5669  0.5669  3 Ir 1.89
Ir  0.0483  0.7342  0.3934  1 H 1.89
Ir  0.2658  0.6066  0.9517  1 H 1.89
Ir  0.3934  0.0483  0.7342  1 H 1.89
Ir  0.6066  0.9517  0.2658  1 H 1.89
Ir  0.7342  0.3934  0.0483  1 H 1.89
Ir  0.9517  0.2658  0.6066  1 H 1.89


No. 9
An optimized crystal structure of ZrHIr. Source: the Alexandria database, functional PBE-GGA.

Magnetization: 0.0000 μB/atom
Space-group type: Pmmn, No. 59
Calculated volume: 40.0 Å³/f.u.
E_tot: -0.547 Ry/atom

a = 3.1843 Å, b = 3.3500 Å, c = 7.5070 Å
α = 90.00°, β = 90.00°, γ = 90.00°
Closest atoms and distances in Å follow each position.
Sites, in units of the cell vectors:
Zr  0.2500  0.2500  0.1844  4 H 2.12-2.16
Zr  0.7500  0.7500  0.8156  4 H 2.12-2.16
H  0.2500  0.7500  0.0027  4 Zr 2.12-2.16, 4 H 2.31
H  0.7500  0.2500  0.9973  4 Zr 2.12-2.16, 4 H 2.31
Ir  0.2500  0.2500  0.6217  4 Zr 2.73, 4 Ir 2.95
Ir  0.7500  0.7500  0.3783  4 Zr 2.73, 4 Ir 2.95


No. 10
An optimized crystal structure of Zr3H2Ir. Source: the Alexandria database, functional PBE-GGA.

Magnetization: 0.0000 μB/atom
Space-group type: C2/m, No. 12
Calculated volume: 94.0 Å³/f.u.
E_tot: -0.538 Ry/atom

a = 10.1933 Å, b = 10.1933 Å, c = 5.8459 Å
α = 104.18°, β = 104.18°, γ = 18.64°
Closest atoms and distances in Å follow each position.
Sites, in units of the cell vectors:
Zr  0.0448  0.0448  0.2884  2 H 2.10-2.15
Zr  0.2301  0.2301  0.2322  3 H 2.08-2.09
Zr  0.3944  0.3944  0.1704  3 H 2.07-2.10
Zr  0.6056  0.6056  0.8296  3 H 2.07-2.10
Zr  0.7699  0.7699  0.7678  3 H 2.08-2.09
Zr  0.9552  0.9552  0.7116  2 H 2.10-2.15
H  0.0549  0.0549  0.9310  4 Zr 2.10-2.15
H  0.2913  0.2913  0.9941  4 Zr 2.07-2.09
H  0.7087  0.7087  0.0059  4 Zr 2.07-2.09
H  0.9451  0.9451  0.0690  4 Zr 2.10-2.15
Ir  0.3492  0.3492  0.5772  6 Zr 2.66-2.75, 1 H 2.95
Ir  0.6508  0.6508  0.4228  6 Zr 2.66-2.75, 1 H 2.95


No. 11
An optimized crystal structure of ZrH2Ir. Source: the Alexandria database, functional PBE-GGA.

Magnetization: 0.0000 μB/atom
Space-group type: I-42d, No. 122
Calculated volume: 43.0 Å³/f.u.
E_tot: -0.464 Ry/atom

a = 5.6221 Å, b = 5.6221 Å, c = 5.6221 Å
α = 135.51°, β = 135.51°, γ = 64.74°
Closest atoms and distances in Å follow each position.
Sites, in units of the cell vectors:
Zr  0.0000  0.0000  0.0000  4 H 2.08
Zr  0.7500  0.2500  0.5000  4 H 2.08
H  0.1896  0.6250  0.0646  2 Ir 1.78
H  0.3750  0.4396  0.5646  2 Ir 1.78
H  0.5604  0.1250  0.9354  2 Ir 1.78
H  0.8750  0.8104  0.4354  2 Ir 1.78
Ir  0.2500  0.7500  0.5000  4 H 1.78
Ir  0.5000  0.5000  0.0000  4 H 1.78


No. 12
An optimized crystal structure of ZrHIr3. Source: the Alexandria database, functional PBE-GGA.

Magnetization: 0.0000 μB/atom
Space-group type: Cmcm, No. 63
Calculated volume: 70.8 Å³/f.u.
E_tot: -0.584 Ry/atom

a = 5.0656 Å, b = 5.0656 Å, c = 7.5031 Å
α = 90.00°, β = 90.00°, γ = 132.61°
Closest atoms and distances in Å follow each position.
Sites, in units of the cell vectors:
Zr  0.0559  0.9441  0.7500  2 H 2.17
Zr  0.9441  0.0559  0.2500  2 H 2.17
H  0.4736  0.5264  0.7500  2 Ir 1.78
H  0.5264  0.4736  0.2500  2 Ir 1.78
Ir  0.2403  0.7597  0.2500  6 Ir 2.57-2.67, 3 H 2.65-2.84, 3 Zr 2.75-2.78
Ir  0.3610  0.6390  0.5578  1 H 1.78
Ir  0.3610  0.6390  0.9422  1 H 1.78
Ir  0.6390  0.3610  0.0578  1 H 1.78
Ir  0.6390  0.3610  0.4422  1 H 1.78
Ir  0.7597  0.2403  0.7500  6 Ir 2.57-2.67, 3 H 2.65-2.84, 3 Zr 2.75-2.78